! PrGa5Cu2Ag | Alexandria | PBE | optimized geometry; values from VASP
! **DFT total energy**: -3.4807 eV per atom
! **V**: 187 Å³ per cell
! **Formation energy**: -41 meV per atom
&SYSTEM
  ibrav = 0, nat = 9, ntyp = 4
/
ATOMIC_SPECIES
Pr 140.91 Pr.upf
Ga 69.72 Ga.upf
Cu 63.55 Cu.upf
Ag 107.87 Ag.upf
CELL_PARAMETERS angstrom
4.331 0.000 0.000
0.000 4.331 0.000
0.000 0.000 9.954
ATOMIC_POSITIONS angstrom
Pr 0.000 0.000 4.977
Ga 0.000 2.165 1.652
Ga 2.165 0.000 1.652
Ga 0.000 2.165 8.302
Ga 2.165 0.000 8.302
Ga 2.165 2.165 4.977
Cu 2.165 2.165 2.716
Cu 2.165 2.165 7.238
Ag 0.000 0.000 0.000

! KCuHg2 | Alexandria | PBE | optimized geometry; values from VASP
! **DFT total energy**: -1.5117 eV per atom
! **V**: 231 Å³ per cell
! **Formation energy**: -62 meV per atom
&SYSTEM
  ibrav = 0, nat = 8, ntyp = 3
/
ATOMIC_SPECIES
K 39.10 K.upf
Cu 63.55 Cu.upf
Hg 200.59 Hg.upf
CELL_PARAMETERS angstrom
-4.567 1.254 -1.680
-1.660 -0.649 4.028
3.922 9.437 3.137
ATOMIC_POSITIONS angstrom
K -1.442 3.000 1.093
K -0.863 7.041 4.392
Cu 0.630 9.948 3.067
Cu -2.935 0.094 2.418
Hg -2.520 6.676 1.241
Hg 0.215 3.366 4.244
Hg 2.719 8.390 3.677
Hg -5.023 1.652 1.808

! TlRe2Os | Alexandria | PBE | optimized geometry; values from VASP
! **DFT total energy**: -8.6943 eV per atom
! **V**: 65 Å³ per cell
! **Formation energy**: 929 meV per atom
&SYSTEM
  ibrav = 0, nat = 4, ntyp = 3
/
ATOMIC_SPECIES
Os 190.23 Os.upf
Re 186.21 Re.upf
Tl 204.38 Tl.upf
CELL_PARAMETERS angstrom
5.117 -0.001 0.000
2.170 4.634 0.000
-3.643 -2.317 2.746
ATOMIC_POSITIONS angstrom
Os 2.558 0.000 1.373
Re 0.000 0.000 0.000
Re 3.643 2.317 0.000
Tl 1.085 2.317 1.373

! Tb2Al2GeRh5 | Alexandria | PBE | optimized geometry; values from VASP
! **DFT total energy**: -6.6457 eV per atom
! **V**: 335 Å³ per cell
! **Formation energy**: -834 meV per atom
&SYSTEM
  ibrav = 0, nat = 20, ntyp = 4
/
ATOMIC_SPECIES
Tb 158.93 Tb.upf
Al 26.98 Al.upf
Ge 72.64 Ge.upf
Rh 102.91 Rh.upf
CELL_PARAMETERS angstrom
-2.827 1.923 -0.450
-4.496 -7.625 -4.338
-3.415 -2.969 8.758
ATOMIC_POSITIONS angstrom
Tb -3.627 -5.659 -1.399
Tb -4.284 -4.935 5.819
Tb -1.896 -2.296 2.096
Tb -6.015 -8.298 2.324
Al -2.688 -2.797 4.927
Al -5.223 -7.797 -0.507
Al -5.797 -7.359 4.966
Al -2.114 -3.236 -0.546
Ge 0.000 0.000 0.000
Ge -3.955 -5.297 2.210
Rh -2.548 -0.775 -0.522
Rh -8.190 -7.896 4.491
Rh -4.436 -1.912 6.476
Rh -6.051 -5.679 0.529
Rh -6.302 -6.759 -2.507
Rh -4.687 -2.992 3.441
Rh -6.356 -5.440 3.467
Rh -4.382 -3.231 0.503
Rh -3.662 -2.851 -2.394
Rh -3.121 -0.523 4.154

! ReTe2F | Alexandria | PBE | optimized geometry; values from VASP
! **DFT total energy**: -5.2927 eV per atom
! **Raw formation energy**: -142 meV/atom
! **V**: 71 Å³ per cell
&SYSTEM
  ibrav = 0, nat = 4, ntyp = 3
/
ATOMIC_SPECIES
Re 186.21 Re.upf
Te 127.60 Te.upf
F 19.00 F.upf
CELL_PARAMETERS angstrom
0.000 3.291 3.291
3.291 0.000 3.291
3.291 3.291 0.000
ATOMIC_POSITIONS angstrom
Re 3.291 3.291 3.291
Te 1.646 1.646 1.646
Te 4.937 4.937 4.937
F 0.000 0.000 0.000

! Sm2Th2Sc3 | Alexandria | PBE | optimized geometry; values from VASP
! **DFT total energy**: -6.0230 eV per atom
! **V**: 207 Å³ per cell
! **Formation energy**: 159 meV per atom
&SYSTEM
  ibrav = 0, nat = 7, ntyp = 3
/
ATOMIC_SPECIES
Sm 150.36 Sm.upf
Th 232.04 Th.upf
Sc 44.96 Sc.upf
CELL_PARAMETERS angstrom
-1.179 0.047 -3.143
2.143 -7.936 -0.921
-7.169 1.746 4.506
ATOMIC_POSITIONS angstrom
Sm 0.332 -6.933 -2.020
Sm -6.536 0.789 2.462
Th -4.617 -3.837 -0.119
Th -1.587 -2.307 0.561
Sc 1.072 -3.968 -0.461
Sc -1.631 -5.625 0.528
Sc -4.572 -0.518 -0.086

! Pr6Dy2Tl | Alexandria | PBE | optimized geometry; values from VASP
! **DFT total energy**: -4.4673 eV per atom
! **V**: 310 Å³ per cell
! **Formation energy**: 5 meV per atom
&SYSTEM
  ibrav = 0, nat = 9, ntyp = 3
/
ATOMIC_SPECIES
Pr 140.91 Pr.upf
Dy 162.50 Dy.upf
Tl 204.38 Tl.upf
CELL_PARAMETERS angstrom
-0.617 -0.154 -3.547
-10.075 -2.496 1.862
3.386 9.249 0.855
ATOMIC_POSITIONS angstrom
Pr -2.329 2.363 0.313
Pr -8.267 3.421 -0.535
Pr -4.978 4.235 -1.143
Pr -3.483 -0.863 -1.187
Pr 0.960 3.178 -0.295
Pr -7.210 -1.787 -0.498
Dy -5.650 1.222 0.929
Dy -1.657 5.377 -1.758
Tl 0.000 0.000 0.000

! PmSm6S8 | Alexandria | PBE | optimized geometry; values from VASP
! **DFT total energy**: -6.4550 eV per atom
! **Raw formation energy**: -2049 meV/atom
! **V**: 363 Å³ per cell
&SYSTEM
  ibrav = 0, nat = 15, ntyp = 3
/
ATOMIC_SPECIES
Pm 145.00 Pm.upf
Sm 150.36 Sm.upf
S 32.06 S.upf
CELL_PARAMETERS angstrom
2.764 1.743 7.309
6.660 -3.524 2.707
6.730 4.258 0.825
ATOMIC_POSITIONS angstrom
Pm 0.000 0.000 0.000
Sm 6.695 0.367 1.766
Sm 1.382 0.871 3.655
Sm 4.712 -0.891 5.008
Sm 3.365 2.129 0.413
Sm 3.330 -1.762 1.353
Sm 4.747 3.000 4.067
S 12.115 1.857 8.131
S 4.038 0.619 2.710
S 5.435 1.489 6.360
S 10.719 0.987 4.482
S 7.407 2.740 3.136
S 8.746 -0.263 7.706
S 8.781 3.606 6.770
S 7.372 -1.130 4.071

- What is the DFT total energy in the fourth record?
  -6.6457 eV per atom

- What is the DFT total energy in the seventh record?
  -4.4673 eV per atom

- Which of these has the highest V?
  PmSm6S8

- Among the records above, which one has the highest DFT total energy?
  KCuHg2